# Tb2Pm2Cd3

Tb2Pm2Cd3 after structural relaxation (PBE-GGA, the Alexandria database).

Values from the calculation:
- energy of formation (eV/atom) = -0.109
- symmetry = I2_13 (199)

```
Tb2Pm2Cd3
1.0
-4.697 4.697 4.697
4.697 -4.697 4.697
4.697 4.697 -4.697
Tb Pm Cd
4 4 6
direct
0.000 0.857 0.500
0.500 0.000 0.857
0.643 0.643 0.643
0.857 0.500 0.000
0.000 0.342 0.500
0.158 0.158 0.158
0.342 0.500 0.000
0.500 0.000 0.342
0.114 0.750 0.864
0.250 0.636 0.386
0.386 0.250 0.636
0.636 0.386 0.250
0.750 0.864 0.114
0.864 0.114 0.750
```

# TlCu4Pb3Cl12

TlCu4Pb3Cl12 after structural relaxation (PBE-GGA, the Alexandria database).

Values from the calculation:
- uncorrected formation energy (eV per atom) = -0.82
- symmetry = R32 (155)

```
TlCu4Pb3Cl12
1.0
7.212 4.164 3.604
-7.212 4.164 3.604
0.000 -8.327 3.604
Tl Cu Pb Cl
1 4 3 12
direct
0.000 0.000 0.000
0.063 0.500 0.937
0.500 0.500 0.500
0.500 0.937 0.063
0.937 0.063 0.500
0.000 0.551 0.449
0.449 0.000 0.551
0.551 0.449 0.000
0.012 0.645 0.784
0.096 0.904 0.500
0.216 0.355 0.988
0.347 0.653 0.500
0.355 0.988 0.216
0.500 0.096 0.904
0.500 0.347 0.653
0.645 0.784 0.012
0.653 0.500 0.347
0.784 0.012 0.645
0.904 0.500 0.096
0.988 0.216 0.355
```

# ZnBi3I

ZnBi3I after structural relaxation (PBE-GGA, the Alexandria database).

Values from the calculation:
- uncorrected formation energy (eV per atom) = 0.44
- polymorph energy (0 for the lowest one) (meV per atom) = 0.0
- symmetry = Pm-3m (221)

```
ZnBi3I
1.0
5.516 0.000 0.000
0.000 5.516 0.000
0.000 0.000 5.516
Zn Bi I
1 3 1
direct
0.000 0.000 0.000
0.000 0.000 0.500
0.000 0.500 0.000
0.500 0.000 0.000
0.500 0.500 0.500
```